Density functional theory data (PBE) for crystalline AlTcSbI2 at its relaxed geometry.

Cell: 5.414 5.414 5.566 Å, 90.00 90.00 90.00°
Sites, in units of the cell vectors:
I  0.000  0.500  0.000
I  0.500  0.000  0.000
Sb  0.000  0.000  0.500
Tc  0.500  0.500  0.500
Al  0.000  0.000  0.000

Values from the calculation:
Formation energy from raw total energies: 0.989 eV per atom
D(E_F): 2.6 states/eV per cell

***

Density functional theory data (PBE) for crystalline Tb3SmTm6Sc2 at its relaxed geometry.

Cell: 6.025 6.025 11.534 Å, 94.98 94.98 119.96°
Sites, in units of the cell vectors:
Tb  0.167  0.833  0.500
Tb  0.833  0.167  0.500
Tb  0.500  0.500  0.500
Sm  0.000  0.000  0.000
Tm  0.917  0.582  0.754
Tm  0.747  0.747  0.245
Tm  0.083  0.418  0.246
Tm  0.582  0.917  0.754
Tm  0.253  0.253  0.755
Tm  0.418  0.083  0.246
Sc  0.333  0.667  0.000
Sc  0.667  0.333  0.000

Values from the calculation:
ΔE_f: 0.038 eV per atom
D(E_F): 17.1 states/eV per cell